Record 1
Sc3MnRe after structural relaxation. Source: the Alexandria database, functional PBE-GGA.

Results
Energy relative to the elements = 0.778 eV per atom
Excess energy over the best structure of this formula in the dataset = 0.000 eV/atom

abc: 4.626 4.626 4.626
angles: 90.00 90.00 90.00
Fractional coordinates of all 5 atoms:
1 Sc 0.000 0.000 0.500
2 Sc 0.000 0.500 0.000
3 Sc 0.500 0.000 0.000
4 Mn 0.000 0.000 0.000
5 Re 0.500 0.500 0.500

Record 2
Li3Hf2Pd4 after structural relaxation. Source: the Alexandria database, functional PBE-GGA.

Results
Energy relative to the elements = -0.524 eV per atom

abc: 4.317 4.510 8.533
angles: 85.68 89.99 61.39
Fractional coordinates of all 9 atoms:
1 Li 0.656 0.688 0.562
2 Li 0.344 0.312 0.438
3 Li 0.000 0.000 0.000
4 Hf 0.330 0.339 0.785
5 Hf 0.670 0.661 0.215
6 Pd 0.006 0.988 0.334
7 Pd 0.666 0.668 0.891
8 Pd 0.334 0.332 0.109
9 Pd 0.994 0.012 0.666

Record 3
K2TlSe after structural relaxation. Source: the Alexandria database, functional PBE-GGA.

Results
Excess energy over the best structure of this formula in the dataset = 0.159 eV/atom

abc: 5.796 5.796 5.796
angles: 60.00 60.00 60.00
Fractional coordinates of all 4 atoms:
1 Se 0.000 0.000 0.000
2 K 0.250 0.250 0.250
3 K 0.750 0.750 0.750
4 Tl 0.500 0.500 0.500

Record 4
NpScBr6 after structural relaxation. Source: the Alexandria database, functional PBE-GGA.

abc: 6.872 6.909 7.388
angles: 62.13 81.98 72.64
Fractional coordinates of all 8 atoms:
1 Br 0.767 0.086 0.289
2 Br 0.233 0.914 0.711
3 Br 0.767 0.375 0.711
4 Br 0.233 0.625 0.289
5 Br 0.759 0.758 0.000
6 Br 0.241 0.242 0.000
7 Sc 0.000 0.000 0.000
8 Np 0.500 0.500 0.000

Record 5
Nd5Al2Hg after structural relaxation. Source: the Alexandria database, functional PBE-GGA.

Results
Energy relative to the elements = -0.290 eV per atom

abc: 7.873 7.873 9.520
angles: 114.42 114.42 90.00
Fractional coordinates of all 16 atoms:
1 Al 0.618 0.118 0.000
2 Al 0.882 0.618 0.000
3 Al 0.382 0.882 0.000
4 Al 0.118 0.382 0.000
5 Nd 0.000 0.000 0.000
6 Nd 0.319 0.819 0.294
7 Nd 0.181 0.025 0.706
8 Nd 0.975 0.475 0.294
9 Nd 0.475 0.319 0.294
10 Nd 0.500 0.500 0.000
11 Nd 0.681 0.181 0.706
12 Nd 0.819 0.975 0.294
13 Nd 0.025 0.525 0.706
14 Nd 0.525 0.681 0.706
15 Hg 0.750 0.750 0.500
16 Hg 0.250 0.250 0.500

Record 6
SrMgSi after structural relaxation. Source: the Alexandria database, functional PBE-GGA.

abc: 4.565 4.565 4.654
angles: 90.00 90.00 120.00
Fractional coordinates of all 3 atoms:
1 Sr 0.333 0.667 0.666
2 Mg 0.000 0.000 0.166
3 Si 0.667 0.333 0.167

Record 7
Ba5Nb4O15 after structural relaxation. Source: the Alexandria database, functional PBE-GGA.

abc: 5.888 5.888 12.003
angles: 90.00 90.00 120.00
Fractional coordinates of all 24 atoms:
1 O 0.339 0.169 0.808
2 O 0.500 0.500 0.000
3 O 0.328 0.164 0.387
4 O 0.672 0.836 0.613
5 O 0.169 0.831 0.192
6 O 0.169 0.339 0.192
7 O 0.836 0.672 0.387
8 O 0.164 0.328 0.613
9 O 0.661 0.831 0.192
10 O 0.836 0.164 0.387
11 O 0.831 0.661 0.808
12 O 0.000 0.500 0.000
13 O 0.500 0.000 0.000
14 O 0.831 0.169 0.808
15 O 0.164 0.836 0.613
16 Ba 0.667 0.333 0.571
17 Ba 0.333 0.667 0.792
18 Ba 0.333 0.667 0.429
19 Ba 0.000 0.000 0.000
20 Ba 0.667 0.333 0.208
21 Nb 0.333 0.667 0.105
22 Nb 0.000 0.000 0.683
23 Nb 0.667 0.333 0.895
24 Nb 0.000 0.000 0.317

Record 8
PaInC after structural relaxation. Source: the Alexandria database, functional PBE-GGA.

Results
Energy relative to the elements = 0.106 eV per atom
Excess energy over the best structure of this formula in the dataset = 0.280 eV/atom

abc: 4.420 4.420 7.854
angles: 73.66 73.66 60.00
Fractional coordinates of all 6 atoms:
1 In 0.816 0.816 0.553
2 In 0.184 0.184 0.447
3 C 0.290 0.290 0.131
4 C 0.710 0.710 0.869
5 Pa 0.610 0.610 0.169
6 Pa 0.390 0.390 0.831

Record 9
YMgCd6 after structural relaxation. Source: the Alexandria database, functional PBE-GGA.

Results
Energy relative to the elements = -0.177 eV per atom
Excess energy over the best structure of this formula in the dataset = 0.000 eV/atom

abc: 4.852 6.390 6.390
angles: 110.96 90.00 90.00
Fractional coordinates of all 8 atoms:
1 Cd 0.500 0.931 0.069
2 Cd 0.500 0.442 0.132
3 Cd 0.000 0.564 0.436
4 Cd 0.000 0.635 0.940
5 Cd 0.000 0.060 0.365
6 Cd 0.500 0.868 0.558
7 Y 0.000 0.125 0.875
8 Mg 0.500 0.374 0.626

Record 10
SmPa4P5 after structural relaxation. Source: the Alexandria database, functional PBE-GGA.

Results
Energy relative to the elements = -1.370 eV per atom

abc: 3.985 6.908 8.932
angles: 75.20 77.11 73.24
Fractional coordinates of all 10 atoms:
1 P 0.799 0.097 0.304
2 P 0.605 0.689 0.101
3 P 0.201 0.903 0.696
4 P 0.395 0.311 0.899
5 P 0.000 0.500 0.500
6 Pa 0.201 0.395 0.204
7 Pa 0.402 0.797 0.399
8 Pa 0.598 0.203 0.601
9 Pa 0.799 0.605 0.796
10 Sm 0.000 0.000 0.000

Record 11
SrTl2N after structural relaxation. Source: the Alexandria database, functional PBE-GGA.

Results
Excess energy over the best structure of this formula in the dataset = 0.580 eV/atom

abc: 5.212 5.212 5.212
angles: 60.00 60.00 60.00
Fractional coordinates of all 4 atoms:
1 Tl 0.250 0.250 0.250
2 Tl 0.750 0.750 0.750
3 N 0.000 0.000 0.000
4 Sr 0.500 0.500 0.500

Record 12
PmTaBe17 after structural relaxation. Source: the Alexandria database, functional PBE-GGA.

Results
Energy relative to the elements = -0.121 eV per atom

abc: 5.718 5.718 5.718
angles: 82.85 82.85 82.85
Fractional coordinates of all 19 atoms:
1 Be 0.338 0.338 0.844
2 Be 0.338 0.844 0.338
3 Be 0.654 0.654 0.162
4 Be 0.282 0.004 0.713
5 Be 0.006 0.006 0.497
6 Be 0.099 0.099 0.099
7 Be 0.004 0.713 0.282
8 Be 0.844 0.338 0.338
9 Be 0.713 0.282 0.004
10 Be 0.909 0.909 0.909
11 Be 0.654 0.162 0.654
12 Be 0.004 0.282 0.713
13 Be 0.497 0.006 0.006
14 Be 0.162 0.654 0.654
15 Be 0.713 0.004 0.282
16 Be 0.282 0.713 0.004
17 Be 0.006 0.497 0.006
18 Pm 0.662 0.662 0.662
19 Ta 0.334 0.334 0.334

Energy (eV per cell)
-36.72; -51.14; -9.87; -41.11; -67.89; -9.47; -192.42; -42.28; -14.96; -83.45; -11.63; -82.25